No. 1
This record from the Alexandria database describes a geometry-optimized AgGeB structure. The functional is PBE-GGA.

Cell and atoms, written as POSCAR:
```
AgGeB
1.0
3.065 0.000 0.000
-0.023 5.781 0.000
-1.495 -2.870 5.352
Ag Ge B
2 2 2
Cartesian
0.000 0.000 0.000
-0.002 2.905 2.799
1.535 2.229 0.501
1.535 -0.649 2.306
0.017 0.895 4.292
1.549 0.898 3.859
```

- ΔH_f (0 K): 0.367 eV/atom
- Total magnetization: 0.00 μB per formula unit
- Symmetry: P1 (1)



No. 2
This record from the Alexandria database describes a geometry-optimized Ag2Ge4B structure. The functional is PBE-GGA.

Cell and atoms, written as POSCAR:
```
Ag2Ge4B
1.0
4.294 0.000 0.000
0.000 4.294 0.000
0.000 0.000 14.269
Ag Ge B
4 8 2
Cartesian
0.000 0.000 2.138
0.000 0.000 12.131
2.147 2.147 4.997
2.147 2.147 9.272
0.000 0.000 4.867
0.000 0.000 9.402
0.000 2.147 0.000
0.000 2.147 7.135
2.147 0.000 0.000
2.147 0.000 7.135
2.147 2.147 2.267
2.147 2.147 12.002
0.000 0.000 7.135
2.147 2.147 0.000
```

- ΔH_f (0 K): 0.548 eV/atom
- Total magnetization: 0.00 μB per formula unit
- Symmetry: I4/mmm (139)



Which of these has the lowest ΔH_f (0 K)? AgGeB



Which value of ΔH_f (0 K) does entry 1 give? 0.367 eV/atom